First-principles (PBE) data for PtAuBr2 after structural relaxation, as listed in the Alexandria database.

uncorrected formation energy = 0.32 eV/atom
E_tot = -2.848 eV per atom
ΔE to the lowest computed polymorph = 293 meV/atom

Unit cell a=3.767 b=3.767 c=7.327 alpha=90.00 beta=90.00 gamma=90.00
Sites, in units of the cell vectors:
Pt 0.000 0.000 0.000
Au 0.500 0.500 0.067
Br 0.000 0.000 0.329
Br 0.500 0.500 0.718


First-principles (PBE) data for Cd12Ga3Hg5 after structural relaxation, as listed in the Alexandria database.

E_tot = -0.917 eV per atom
energy of formation = 0.161 eV/atom

Unit cell a=14.433 b=14.433 c=14.433 alpha=109.47 beta=109.47 gamma=109.47
Sites, in units of the cell vectors:
Cd 0.063 0.633 0.397
Cd 0.063 0.930 0.666
Cd 0.070 0.236 0.133
Cd 0.070 0.334 0.937
Cd 0.103 0.736 0.666
Cd 0.103 0.867 0.437
Cd 0.133 0.070 0.236
Cd 0.133 0.563 0.897
Cd 0.166 0.236 0.603
Cd 0.166 0.430 0.563
Cd 0.236 0.133 0.070
Cd 0.236 0.603 0.166
Cd 0.264 0.334 0.897
Cd 0.264 0.430 0.367
Cd 0.334 0.897 0.264
Cd 0.334 0.937 0.070
Cd 0.367 0.264 0.430
Cd 0.367 0.603 0.937
Cd 0.397 0.063 0.633
Cd 0.397 0.834 0.764
Cd 0.430 0.367 0.264
Cd 0.430 0.563 0.166
Cd 0.437 0.103 0.867
Cd 0.437 0.834 0.570
Cd 0.563 0.166 0.430
Cd 0.563 0.897 0.133
Cd 0.570 0.437 0.834
Cd 0.570 0.633 0.736
Cd 0.603 0.166 0.236
Cd 0.603 0.937 0.367
Cd 0.633 0.397 0.063
Cd 0.633 0.736 0.570
Cd 0.666 0.063 0.930
Cd 0.666 0.103 0.736
Cd 0.736 0.570 0.633
Cd 0.736 0.666 0.103
Cd 0.764 0.397 0.834
Cd 0.764 0.867 0.930
Cd 0.834 0.570 0.437
Cd 0.834 0.764 0.397
Cd 0.867 0.437 0.103
Cd 0.867 0.930 0.764
Cd 0.897 0.133 0.563
Cd 0.897 0.264 0.334
Cd 0.930 0.666 0.063
Cd 0.930 0.764 0.867
Cd 0.937 0.070 0.334
Cd 0.937 0.367 0.603
Ga 0.125 0.250 0.375
Ga 0.125 0.375 0.750
Ga 0.250 0.375 0.125
Ga 0.250 0.875 0.625
Ga 0.375 0.125 0.250
Ga 0.375 0.750 0.125
Ga 0.625 0.250 0.875
Ga 0.625 0.875 0.750
Ga 0.750 0.125 0.375
Ga 0.750 0.625 0.875
Ga 0.875 0.625 0.250
Ga 0.875 0.750 0.625
Hg 0.000 0.000 0.000
Hg 0.000 0.000 0.500
Hg 0.000 0.500 0.000
Hg 0.000 0.500 0.500
Hg 0.125 0.750 0.875
Hg 0.125 0.875 0.250
Hg 0.250 0.125 0.875
Hg 0.250 0.625 0.375
Hg 0.375 0.250 0.625
Hg 0.375 0.625 0.750
Hg 0.500 0.000 0.000
Hg 0.500 0.000 0.500
Hg 0.500 0.500 0.000
Hg 0.500 0.500 0.500
Hg 0.625 0.375 0.250
Hg 0.625 0.750 0.375
Hg 0.750 0.375 0.625
Hg 0.750 0.875 0.125
Hg 0.875 0.125 0.750
Hg 0.875 0.250 0.125